a.
Here is a relaxed structure of TcSeI2O from Alexandria. Energies are from PBE.

density of states at the Fermi level: 0.625 states/eV/atom
space group: P4/mmm

Unit cell a=5.876 b=5.876 c=3.797 alpha=90.00 beta=90.00 gamma=90.00
Positions (direct):
I 0.500 0.000 0.000
I 0.000 0.500 0.000
Se 0.000 0.000 0.000
Tc 0.500 0.500 0.500
O 0.000 0.000 0.500

=====

b.
Here is a relaxed structure of TcSeI2O from Alexandria. Energies are from PBE.

density of states at the Fermi level: 0.940 states/eV/atom
space group: P4/mmm

Unit cell a=5.565 b=5.565 c=3.751 alpha=90.00 beta=90.00 gamma=90.00
Positions (direct):
I 0.000 0.500 0.000
O 0.000 0.000 0.500
Se 0.500 0.500 0.500
Tc 0.000 0.000 0.000
I 0.500 0.000 0.000

=====

Which of them is least stable? Easy: a.

=====

a.
Here is a relaxed structure of TeSeI2O from Alexandria. Energies are from PBE.

density of states at the Fermi level: 0.945 states/eV/atom
space group: P4/mmm

Unit cell a=5.305 b=5.305 c=4.502 alpha=90.00 beta=90.00 gamma=90.00
Positions (direct):
I 0.000 0.500 0.000
I 0.500 0.000 0.000
Te 0.000 0.000 0.500
O 0.000 0.000 0.000
Se 0.500 0.500 0.500

=====

b.
Here is a relaxed structure of TeSeI2O from Alexandria. Energies are from PBE.

density of states at the Fermi level: 3.192 states/eV/atom
space group: P4/mmm

Unit cell a=5.557 b=5.557 c=5.626 alpha=90.00 beta=90.00 gamma=90.00
Positions (direct):
Se 0.000 0.000 0.000
Te 0.000 0.000 0.500
O 0.500 0.500 0.500
I 0.500 0.000 0.000
I 0.000 0.500 0.000

=====

c.
Here is a relaxed structure of TeSeI2O from Alexandria. Energies are from PBE.

density of states at the Fermi level: 0.946 states/eV/atom
space group: P4/mmm

Unit cell a=6.140 b=6.140 c=4.062 alpha=90.00 beta=90.00 gamma=90.00
Positions (direct):
O 0.000 0.000 0.500
Se 0.500 0.500 0.500
I 0.500 0.000 0.000
I 0.000 0.500 0.000
Te 0.000 0.000 0.000

=====

Which of them is least stable? Easy: b.

=====

a.
Here is a relaxed structure of TeSeIO2 from Alexandria. Energies are from PBE.

density of states at the Fermi level: 0.830 states/eV/atom
space group: P4/mmm

Unit cell a=4.067 b=4.067 c=7.012 alpha=90.00 beta=90.00 gamma=90.00
Positions (direct):
I 0.000 0.000 0.500
O 0.500 0.000 0.000
O 0.000 0.500 0.000
Te 0.000 0.000 0.000
Se 0.500 0.500 0.500

=====

b.
Here is a relaxed structure of TeSeIO2 from Alexandria. Energies are from PBE.

density of states at the Fermi level: 0.878 states/eV/atom
space group: P4/mmm

Unit cell a=4.079 b=4.079 c=7.537 alpha=90.00 beta=90.00 gamma=90.00
Positions (direct):
O 0.500 0.000 0.000
O 0.000 0.500 0.000
I 0.000 0.000 0.500
Te 0.500 0.500 0.500
Se 0.000 0.000 0.000

=====

Which of them is least stable? Easy: b.